Record 1
Below is an optimized crystal structure of LaBeMo2, with properties calculated at the PBE level.

Values from the calculation:
E_tot	-28.874	eV/f.u.
total magnetic moment	0.000	Bohr magnetons per cell
crystal system	monoclinic
symmetry	Cm, No. 8

Cell: 4.401 4.401 5.845 Å, 102.22 102.22 45.50°
Sites, in units of the cell vectors:
La  0.000  0.000  0.000
Be  0.739  0.739  0.357
Mo  0.202  0.202  0.640
Mo  0.458  0.458  0.462

Record 2
Below is an optimized crystal structure of La2BeMo, with properties calculated at the PBE level.

Values from the calculation:
E_tot	-23.602	eV/f.u.
total magnetic moment	0.000	Bohr magnetons per cell
crystal system	tetragonal
symmetry	P4mm, No. 99

Cell: 3.448 3.448 8.198 Å, 90.00 90.00 90.00°
Sites, in units of the cell vectors:
La  0.000  0.000  0.000
La  0.500  0.500  0.429
Be  0.500  0.500  0.774
Mo  0.000  0.000  0.688

> E_tot of number 2 (La2BeMo)?

-23.602 eV/f.u.

> Which of these has the highest E_tot?

La2BeMo

> Which value of total magnetic moment does entry 2 give?

0.000 Bohr magnetons per cell